No. 1
# MnAlSe3 (PBE, relaxed)
data_MnAlSe3
_chemical_formula_sum 'Mn2 Al2 Se6'
_cell_length_a 4.1138
_cell_length_b 4.1138
_cell_length_c 15.5858
_cell_angle_alpha 90.00
_cell_angle_beta 90.00
_cell_angle_gamma 120.00
_symmetry_space_group_name_H-M 'P 1'
_symmetry_Int_Tables_number 1
_symmetry_space_group_name_Hall 'P 1'
loop_
_atom_site_label
_atom_site_fract_x
_atom_site_fract_y
_atom_site_fract_z
Se1 0.3333 0.6667 0.5812
Se2 0.6667 0.3333 0.4188
Se3 0.0000 0.0000 0.2500
Se4 0.6667 0.3333 0.0812
Al1 0.6667 0.3333 0.2500
Se5 0.3333 0.6667 0.9188
Mn1 0.0000 0.0000 0.5000
Mn2 0.0000 0.0000 0.0000
Al2 0.3333 0.6667 0.7500
Se6 0.0000 0.0000 0.7500
# Uncorrected formation energy in meV per atom: -439
# Crystal system: hexagonal
# D(E_F) in states/eV/cell: 3.711



No. 2
# MnAlSe3 (PBE, relaxed)
data_MnAlSe3
_chemical_formula_sum 'Mn2 Al2 Se6'
_cell_length_a 3.6227
_cell_length_b 10.2713
_cell_length_c 6.6059
_cell_angle_alpha 59.69
_cell_angle_beta 90.00
_cell_angle_gamma 79.84
_symmetry_space_group_name_H-M 'P 1'
_symmetry_Int_Tables_number 1
_symmetry_space_group_name_Hall 'P 1'
loop_
_atom_site_label
_atom_site_fract_x
_atom_site_fract_y
_atom_site_fract_z
Se1 0.8785 0.8446 0.8557
Al1 0.6396 0.3221 0.7495
Se2 0.5505 0.5003 0.3142
Se3 0.7280 0.1454 0.2739
Mn1 0.9301 0.7417 0.6166
Se4 0.0728 0.4558 0.8531
Se5 0.3833 0.8351 0.3490
Al2 0.1337 0.3341 0.3096
Se6 0.2265 0.1485 0.7534
Mn2 0.3184 0.9648 0.5654
# Uncorrected formation energy in meV per atom: -531
# Crystal system: monoclinic
# D(E_F) in states/eV/cell: 0.000